## Cs3Ag2PbI6 (PBE)

Data for Cs3Ag2PbI6 after structural relaxation.

**Total magnetization**: 0.000 μB/atom
**Space group**: No. 164
**Fermi-level density of states**: 3.7 states/eV/cell
**ΔE_f (raw)**: -76.78 kJ per mole of atoms

abc: 9.3161 9.3161 9.4891
angles: 90.00 90.00 120.00
With the nearest neighbours (Å) after each atom.
Sites, in units of the cell vectors:
Cs  0.0000  0.0000  0.0000  6 I 3.85
Cs  0.3333  0.6667  0.6251  1 Ag 3.79, 3 I 4.16
Cs  0.6667  0.3333  0.3749  1 Ag 3.79, 3 I 4.16
Ag  0.3333  0.6667  0.2256  3 I 2.80
Ag  0.6667  0.3333  0.7744  3 I 2.80
Pb  0.0000  0.0000  0.5000  6 I 3.29
I  0.1644  0.3288  0.2947  1 Ag 2.80
I  0.1644  0.8356  0.2947  1 Ag 2.80
I  0.3288  0.1644  0.7053  1 Ag 2.80
I  0.6712  0.8356  0.2947  1 Ag 2.80
I  0.8356  0.1644  0.7053  1 Ag 2.80
I  0.8356  0.6712  0.7053  1 Ag 2.80


## Pu3Mn4C4 (PBE)

Data for Pu3Mn4C4 after structural relaxation.

**Total magnetization**: 0.835 μB/atom
**Space group**: No. 217
**Fermi-level density of states**: 14.0 states/eV/cell
**DFT formation energy**: 0.10 eV per atom

abc: 5.5975 5.5975 5.5975
angles: 109.47 109.47 109.47
With the nearest neighbours (Å) after each atom.
Sites, in units of the cell vectors:
Pu  0.0000  0.5000  0.5000  4 C 2.64, 4 Mn 2.65
Pu  0.5000  0.0000  0.5000  4 C 2.64, 4 Mn 2.65
Pu  0.5000  0.5000  0.0000  4 C 2.64, 4 Mn 2.65
Mn  0.0000  0.0000  0.7183  4 C 2.00-2.11
Mn  0.0000  0.7183  0.0000  4 C 2.00-2.11
Mn  0.2817  0.2817  0.2817  4 C 2.00-2.11
Mn  0.7183  0.0000  0.0000  4 C 2.00-2.11
C  0.0000  0.0000  0.3608  4 Mn 2.00-2.11
C  0.0000  0.3608  0.0000  4 Mn 2.00-2.11
C  0.3608  0.0000  0.0000  4 Mn 2.00-2.11
C  0.6392  0.6392  0.6392  4 Mn 2.00-2.11


## RbTaPbO4 (PBE)

Data for RbTaPbO4 after structural relaxation.

**Total magnetization**: 0.000 μB/atom
**Space group**: No. 11
**Fermi-level density of states**: 0.0 states/eV/cell
**ΔE_f (raw)**: -205.69 kJ per mole of atoms

abc: 6.8486 6.4443 8.1399
angles: 90.00 113.79 90.00
With the nearest neighbours (Å) after each atom.
Sites, in units of the cell vectors:
Rb  0.1991  0.2500  0.4684  3 O 2.80-3.11
Rb  0.8009  0.7500  0.5316  3 O 2.80-3.11
Ta  0.2140  0.7500  0.2002  4 O 1.83-1.90
Ta  0.7860  0.2500  0.7998  4 O 1.83-1.90
Pb  0.3223  0.2500  0.0487  3 O 2.27-2.29
Pb  0.6777  0.7500  0.9513  3 O 2.27-2.29
O  0.0160  0.7500  0.9587  1 Ta 1.88
O  0.0575  0.7500  0.3363  1 Ta 1.83
O  0.3914  0.5122  0.2498  1 Ta 1.90
O  0.3914  0.9878  0.2498  1 Ta 1.90
O  0.6086  0.0122  0.7502  1 Ta 1.90
O  0.6086  0.4878  0.7502  1 Ta 1.90
O  0.9425  0.2500  0.6637  1 Ta 1.83
O  0.9840  0.2500  0.0413  1 Ta 1.88


> Which of these has the highest total magnetization?

Pu3Mn4C4


> total magnetization of number 3 (RbTaPbO4)?

0.000 μB/atom